[1]
This record from Alexandria via LeMat-Bulk describes LaPr3Tm4 after structural relaxation. The functional is PBE-GGA.

Geometry as CIF:
```
data_LaPr3Tm4
_chemical_formula_sum 'La1 Pr3 Tm4'
_space_group_name_H-M_alt 'P 1'
_space_group_IT_number 1
_space_group_name_Hall 'P 1'
_cell_length_a 9.022
_cell_length_b 9.022
_cell_length_c 9.022
_cell_angle_alpha 158.03
_cell_angle_beta 99.00
_cell_angle_gamma 85.19
loop_
_atom_site_label
_atom_site_type_symbol
_atom_site_fract_x
_atom_site_fract_y
_atom_site_fract_z
La1 La 0.000 0.000 0.000
Pr1 Pr 0.243 0.743 0.500
Pr2 Pr 0.500 0.500 0.000
Pr3 Pr 0.757 0.257 0.500
Tm1 Tm 0.115 0.864 0.250
Tm2 Tm 0.386 0.136 0.250
Tm3 Tm 0.614 0.864 0.750
Tm4 Tm 0.885 0.136 0.750
```

- E_tot (eV per atom) = -4.502
- energy relative to the elements (meV per atom) = 142
- symmetry = No. 71
- DOS(E_F) (states/eV per cell) = 13.1



[2]
This record from Alexandria via LeMat-Bulk describes La4PrTm7 after structural relaxation. The functional is PBE-GGA.

Geometry as CIF:
```
data_La4PrTm7
_chemical_formula_sum 'La4 Pr1 Tm7'
_space_group_name_H-M_alt 'P 1'
_space_group_IT_number 1
_space_group_name_Hall 'P 1'
_cell_length_a 6.766
_cell_length_b 6.766
_cell_length_c 12.895
_cell_angle_alpha 114.68
_cell_angle_beta 114.68
_cell_angle_gamma 51.91
loop_
_atom_site_label
_atom_site_type_symbol
_atom_site_fract_x
_atom_site_fract_y
_atom_site_fract_z
La1 La 0.133 0.133 0.278
La2 La 0.283 0.283 0.839
La3 La 0.717 0.717 0.161
La4 La 0.867 0.867 0.722
Pr1 Pr 0.500 0.500 0.500
Tm1 Tm 0.000 0.000 0.500
Tm2 Tm 0.133 0.133 0.994
Tm3 Tm 0.289 0.289 0.576
Tm4 Tm 0.429 0.429 0.189
Tm5 Tm 0.571 0.571 0.811
Tm6 Tm 0.711 0.711 0.424
Tm7 Tm 0.867 0.867 0.006
```

- E_tot (eV per atom) = -4.404
- energy relative to the elements (meV per atom) = 245
- symmetry = No. 12
- DOS(E_F) (states/eV per cell) = 18.9



[3]
This record from Alexandria via LeMat-Bulk describes La2Pr8Tm3 after structural relaxation. The functional is PBE-GGA.

Geometry as CIF:
```
data_La2Pr8Tm3
_chemical_formula_sum 'La2 Pr8 Tm3'
_space_group_name_H-M_alt 'P 1'
_space_group_IT_number 1
_space_group_name_Hall 'P 1'
_cell_length_a 7.844
_cell_length_b 5.444
_cell_length_c 11.252
_cell_angle_alpha 90.00
_cell_angle_beta 107.38
_cell_angle_gamma 90.00
loop_
_atom_site_label
_atom_site_type_symbol
_atom_site_fract_x
_atom_site_fract_y
_atom_site_fract_z
La1 La 0.195 0.000 0.030
La2 La 0.805 0.000 0.970
Pr1 Pr 0.036 0.000 0.334
Pr2 Pr 0.230 0.500 0.878
Pr3 Pr 0.306 0.500 0.263
Pr4 Pr 0.406 0.000 0.758
Pr5 Pr 0.594 0.000 0.242
Pr6 Pr 0.694 0.500 0.737
Pr7 Pr 0.770 0.500 0.122
Pr8 Pr 0.964 0.000 0.666
Tm1 Tm 0.231 0.500 0.562
Tm2 Tm 0.500 0.000 0.500
Tm3 Tm 0.769 0.500 0.438
```

- E_tot (eV per atom) = -4.565
- energy relative to the elements (meV per atom) = 166
- symmetry = No. 10
- DOS(E_F) (states/eV per cell) = 19.0



[4]
This record from Alexandria via LeMat-Bulk describes La2Pr7Tm2 after structural relaxation. The functional is PBE-GGA.

Geometry as CIF:
```
data_La2Pr7Tm2
_chemical_formula_sum 'La2 Pr7 Tm2'
_space_group_name_H-M_alt 'P 1'
_space_group_IT_number 1
_space_group_name_Hall 'P 1'
_cell_length_a 7.070
_cell_length_b 7.070
_cell_length_c 9.638
_cell_angle_alpha 90.00
_cell_angle_beta 90.00
_cell_angle_gamma 122.59
loop_
_atom_site_label
_atom_site_type_symbol
_atom_site_fract_x
_atom_site_fract_y
_atom_site_fract_z
La1 La 0.248 0.248 0.000
La2 La 0.752 0.752 0.000
Pr1 Pr 0.000 0.000 0.500
Pr2 Pr 0.000 0.500 0.186
Pr3 Pr 0.000 0.500 0.814
Pr4 Pr 0.500 0.000 0.186
Pr5 Pr 0.500 0.000 0.814
Pr6 Pr 0.500 0.500 0.322
Pr7 Pr 0.500 0.500 0.678
Tm1 Tm 0.269 0.731 0.500
Tm2 Tm 0.731 0.269 0.500
```

- E_tot (eV per atom) = -4.440
- energy relative to the elements (meV per atom) = 310
- symmetry = No. 65
- DOS(E_F) (states/eV per cell) = 21.6



[5]
This record from Alexandria via LeMat-Bulk describes LaPr2Tm5 after structural relaxation. The functional is PBE-GGA.

Geometry as CIF:
```
data_LaPr2Tm5
_chemical_formula_sum 'La1 Pr2 Tm5'
_space_group_name_H-M_alt 'P 1'
_space_group_IT_number 1
_space_group_name_Hall 'P 1'
_cell_length_a 8.799
_cell_length_b 8.799
_cell_length_c 8.799
_cell_angle_alpha 156.69
_cell_angle_beta 101.12
_cell_angle_gamma 83.62
loop_
_atom_site_label
_atom_site_type_symbol
_atom_site_fract_x
_atom_site_fract_y
_atom_site_fract_z
La1 La 0.000 0.000 0.000
Pr1 Pr 0.242 0.742 0.500
Pr2 Pr 0.758 0.258 0.500
Tm1 Tm 0.140 0.368 0.772
Tm2 Tm 0.404 0.632 0.772
Tm3 Tm 0.500 0.000 0.500
Tm4 Tm 0.596 0.368 0.228
Tm5 Tm 0.860 0.632 0.228
```

- E_tot (eV per atom) = -4.563
- energy relative to the elements (meV per atom) = 42
- symmetry = No. 71
- DOS(E_F) (states/eV per cell) = 11.2



[6]
This record from Alexandria via LeMat-Bulk describes La7Pr4Tm after structural relaxation. The functional is PBE-GGA.

Geometry as CIF:
```
data_La7Pr4Tm
_chemical_formula_sum 'La7 Pr4 Tm1'
_space_group_name_H-M_alt 'P 1'
_space_group_IT_number 1
_space_group_name_Hall 'P 1'
_cell_length_a 6.467
_cell_length_b 7.464
_cell_length_c 9.267
_cell_angle_alpha 89.88
_cell_angle_beta 76.53
_cell_angle_gamma 89.98
loop_
_atom_site_label
_atom_site_type_symbol
_atom_site_fract_x
_atom_site_fract_y
_atom_site_fract_z
La1 La 0.000 0.000 0.000
La2 La 0.221 0.499 0.332
La3 La 0.277 0.749 0.671
La4 La 0.500 0.255 0.000
La5 La 0.500 0.745 0.000
La6 La 0.723 0.251 0.329
La7 La 0.779 0.501 0.668
Pr1 Pr 0.227 0.000 0.331
Pr2 Pr 0.275 0.252 0.673
Pr3 Pr 0.725 0.748 0.327
Pr4 Pr 0.773 0.000 0.669
Tm1 Tm 0.000 0.500 0.000
```

- E_tot (eV per atom) = -4.825
- energy relative to the elements (meV per atom) = 15
- symmetry = No. 2
- DOS(E_F) (states/eV per cell) = 18.2



Which value of E_tot does entry 6 give?
-4.825 eV per atom